Record 1
# Ga6Cu6Sn

Ga6Cu6Sn after structural relaxation (PBE-GGA, Alexandria via LeMat-Bulk).

```
data_Ga6Cu6Sn
_chemical_formula_sum 'Ga6 Cu6 Sn1'
_cell_length_a 6.7199
_cell_length_b 6.7199
_cell_length_c 6.7199
_cell_angle_alpha 134.68
_cell_angle_beta 100.09
_cell_angle_gamma 96.99
_space_group_name_H-M_alt 'P 1'
_space_group_IT_number 1
loop_
_space_group_symop_operation_xyz
'x,y,z'
loop_
_atom_site_label
_atom_site_fract_x
_atom_site_fract_y
_atom_site_fract_z
Ga1 0.1505 0.5000 0.6505
Ga2 0.1550 0.1550 0.0000
Ga3 0.3131 0.8131 0.5000
Ga4 0.6869 0.1869 0.5000
Ga5 0.8450 0.8450 0.0000
Ga6 0.8495 0.5000 0.3495
Cu1 0.0000 0.0000 0.5000
Cu2 0.0000 0.5000 0.0000
Cu3 0.2567 0.0000 0.2567
Cu4 0.5000 0.0000 0.0000
Cu5 0.5000 0.5000 0.5000
Cu6 0.7433 0.0000 0.7433
Sn1 0.5000 0.5000 0.0000
```

## Properties
E_tot: -3.654 eV/atom
spin magnetization: 0.00 μB per formula unit

---

Record 2
# GaCuSn

GaCuSn after structural relaxation (PBE-GGA, Alexandria via LeMat-Bulk).

```
data_GaCuSn
_chemical_formula_sum 'Ga2 Cu2 Sn2'
_cell_length_a 4.2459
_cell_length_b 4.8807
_cell_length_c 6.5686
_cell_angle_alpha 110.05
_cell_angle_beta 108.70
_cell_angle_gamma 90.03
_space_group_name_H-M_alt 'P 1'
_space_group_IT_number 1
loop_
_space_group_symop_operation_xyz
'x,y,z'
loop_
_atom_site_label
_atom_site_fract_x
_atom_site_fract_y
_atom_site_fract_z
Ga1 0.0000 0.0000 0.0000
Ga2 0.4136 0.6397 0.8265
Cu1 0.5467 0.3124 0.0914
Cu2 0.9601 0.4560 0.9199
Sn1 0.1995 0.6750 0.3815
Sn2 0.7455 0.1710 0.4690
```

## Properties
E_tot: -3.688 eV/atom
spin magnetization: 0.00 μB per formula unit